PrYSn2 (GGA-PBE, relaxed); crystal system = tetragonal; DFT total energy = -21.86 eV for the cell shown; space group = P4/mmm, No. 123
1.0
4.539 0.000 0.000
0.000 4.952 0.000
0.000 0.000 4.952
Y Pr Sn
1 1 2
direct
0.500 0.000 0.000
0.500 0.500 0.500
0.000 0.500 0.000
0.000 0.000 0.500